Entry 1:
A relaxed YBe2Zn2 crystal. Source: OQMD, functional PBE-GGA.

Summary:
Volume (A^3/atom): 15.2
Energy above the lowest structure with this stoichiometry (meV per atom): 34

Lattice parameters (Å, degrees): 4.0037 4.0037 9.4985 90.00 90.00 90.00
Space group I4/mmm (No. 139)
Asymmetric unit:
Y 0.0000 0.0000 0.0000 x2
Be 0.0000 0.5000 0.2500 x4
Zn 0.0000 0.0000 0.3688 x4


Entry 2:
A relaxed NaPdAu3O4 crystal. Source: OQMD, functional PBE-GGA.

Summary:
E_tot (eV/atom): -3.67
Volume (A^3/atom): 16.2

Lattice parameters (Å, degrees): 5.2669 5.2669 5.2669 90.00 90.00 90.00
Space group P-43m (No. 215)
Asymmetric unit:
Na 0.0000 0.0000 0.0000 x1
Pd 0.5000 0.5000 0.5000 x1
Au 0.0000 0.5000 0.5000 x3
O 0.2394 0.2394 0.2394 x4